First-principles (PBE) data for AlFeSi2 after structural relaxation, as listed in Alexandria via LeMat-Bulk.

Output
Raw formation energy   -0.021 eV per atom
Calculated total energy   -5.78 eV/atom
Total moment   0.00 μB/f.u.
SG   P2/m (10)

Unit cell a=3.994 b=2.981 c=4.661 alpha=76.83 beta=90.00 gamma=90.00
Element x y z (fractional)
Si1 0.000 0.695 0.507
Al1 0.500 0.250 0.250
Fe1 0.500 0.750 0.750
Si2 0.000 0.805 0.993